Record 1
# CuRePt

An optimized crystal structure of CuRePt (PBE, Alexandria via LeMat-Bulk).

abc: 4.3257 2.7482 7.4018
angles: 90.00 94.49 90.00
With the nearest neighbours (Å) after each atom.
Space group P2_1/m (No. 11)
One atom of each set of equivalent atoms:
Cu (0.2065, 0.2500, 0.2288) x2  4 Re 2.64-2.79, 5 Pt 2.66-2.72, 2 Cu 2.75
Re (0.2566, 0.7500, 0.5582) x2  4 Cu 2.64-2.79, 2 Pt 2.68, 6 Re 2.69-2.75
Pt (0.3070, 0.2500, 0.8702) x2  5 Cu 2.66-2.72, 2 Re 2.68, 4 Pt 2.75-2.80

Properties
Energy relative to the lowest polymorph listed for this composition: 0.111 eV per atom
VASP energy: -22.6 eV per formula unit
ΔE_f: 0.0044 eV/atom

---

Record 2
# CuRePt

An optimized crystal structure of CuRePt (PBE, Alexandria via LeMat-Bulk).

abc: 2.7283 4.2089 7.5225
angles: 90.00 90.00 90.00
With the nearest neighbours (Å) after each atom.
Space group Pmm2 (No. 25)
One atom of each set of equivalent atoms:
Cu (0.0000, 0.0000, 0.0000) x1  6 Pt 2.62-2.71, 1 Re 2.63, 4 Cu 2.73
Cu (0.5000, 0.0000, 0.3139) x1  4 Re 2.59-2.88, 4 Pt 2.63, 4 Cu 2.73
Re (0.0000, 0.0000, 0.6506) x1  3 Cu 2.63-2.88, 6 Re 2.71-2.73
Re (0.5000, 0.5000, 0.5136) x1  2 Cu 2.59, 3 Pt 2.63-2.68, 6 Re 2.71-2.73
Pt (0.0000, 0.5000, 0.2069) x1  6 Cu 2.62-2.63, 2 Re 2.68, 4 Pt 2.73-2.92
Pt (0.5000, 0.5000, 0.8637) x1  1 Re 2.63, 4 Cu 2.71, 4 Pt 2.73-2.92

Properties
Energy relative to the lowest polymorph listed for this composition: 0.106 eV per atom
VASP energy: -22.6 eV per formula unit
ΔE_f: -0.0005 eV/atom

---

Record 3
# CuRePt

An optimized crystal structure of CuRePt (PBE, Alexandria via LeMat-Bulk).

abc: 2.7442 2.7442 6.6154
angles: 90.00 90.00 120.00
With the nearest neighbours (Å) after each atom.
Space group P3m1 (No. 156)
One atom of each set of equivalent atoms:
Cu (0.0000, 0.0000, 0.0000) x1  3 Re 2.68, 3 Pt 2.72, 6 Cu 2.74
Re (0.3333, 0.6667, 0.3260) x1  3 Cu 2.68, 6 Re 2.74, 3 Pt 2.75
Pt (0.6667, 0.3333, 0.6655) x1  3 Cu 2.72, 6 Pt 2.74, 3 Re 2.75

Properties
Energy relative to the lowest polymorph listed for this composition: 0.184 eV per atom
VASP energy: -22.4 eV per formula unit
ΔE_f: 0.0769 eV/atom

---

Record 4
# CuRePt

An optimized crystal structure of CuRePt (PBE, Alexandria via LeMat-Bulk).

abc: 2.7748 14.0901 4.3715
angles: 90.00 90.00 90.00
With the nearest neighbours (Å) after each atom.
Space group Cmcm (No. 63)
One atom of each set of equivalent atoms:
Cu (0.0000, 0.0565, 0.2500) x4  6 Pt 2.68, 4 Cu 2.70-2.77, 2 Re 2.72
Re (0.0000, 0.2779, 0.7500) x4  6 Re 2.71-2.77, 2 Cu 2.72, 4 Pt 2.73-2.79
Pt (0.0000, 0.3940, 0.2500) x4  6 Cu 2.68, 4 Re 2.73-2.79, 2 Pt 2.77

Properties
Energy relative to the lowest polymorph listed for this composition: 0.079 eV per atom
VASP energy: -22.7 eV per formula unit
ΔE_f: -0.0279 eV/atom

---

Record 5
# CuRePt2

An optimized crystal structure of CuRePt2 (PBE, Alexandria via LeMat-Bulk).

abc: 2.7779 2.7779 26.3924
angles: 90.00 90.00 120.00
With the nearest neighbours (Å) after each atom.
Space group R-3m (No. 166, hexagonal axes)
One atom of each set of equivalent atoms:
Cu (0.0000, 0.0000, 0.0000) x3  6 Pt 2.70, 6 Cu 2.78
Re (0.0000, 0.0000, 0.5000) x3  6 Pt 2.75, 6 Re 2.78
Pt (0.0000, 0.0000, 0.2512) x6  3 Cu 2.70, 3 Re 2.75, 6 Pt 2.78

Properties
Energy relative to the lowest polymorph listed for this composition: 0.108 eV per atom
VASP energy: -28.8 eV per formula unit
ΔE_f: -0.0525 eV/atom

---

Record 6
# CuRePt2

An optimized crystal structure of CuRePt2 (PBE, Alexandria via LeMat-Bulk).

abc: 3.8117 3.8117 17.5803
angles: 90.00 90.00 90.00
With the nearest neighbours (Å) after each atom.
Space group I-42d (No. 122)
One atom of each set of equivalent atoms:
Cu (0.0000, 0.0000, 0.0000) x4  4 Pt 2.58, 4 Re 2.70
Re (0.0000, 0.0000, 0.5000) x4  4 Pt 2.58, 4 Cu 2.70
Pt (0.2482, 0.2500, 0.1250) x8  2 Cu 2.58, 2 Re 2.58, 4 Pt 2.69-2.70

Properties
Energy relative to the lowest polymorph listed for this composition: 0.621 eV per atom
VASP energy: -26.8 eV per formula unit
ΔE_f: 0.4608 eV/atom

---

Record 7
# Cu2RePt3

An optimized crystal structure of Cu2RePt3 (PBE, Alexandria via LeMat-Bulk).

abc: 2.7782 2.7782 11.1399
angles: 90.00 90.00 90.00
With the nearest neighbours (Å) after each atom.
Space group P4/mmm (No. 123)
One atom of each set of equivalent atoms:
Cu (0.0000, 0.0000, 0.1608) x2  8 Pt 2.66-2.72, 4 Cu 2.78
Re (0.0000, 0.0000, 0.5000) x1  8 Pt 2.73, 4 Re 2.78
Pt (0.5000, 0.5000, 0.0000) x1  8 Cu 2.66, 4 Pt 2.78
Pt (0.5000, 0.5000, 0.3293) x2  4 Cu 2.72, 4 Re 2.73, 4 Pt 2.78

Properties
VASP energy: -39.7 eV per formula unit
ΔE_f: -0.1543 eV/atom

---

Record 8
# CuRePt

An optimized crystal structure of CuRePt (PBE, Alexandria via LeMat-Bulk).

abc: 5.8540 5.8540 5.8540
angles: 90.00 90.00 90.00
With the nearest neighbours (Å) after each atom.
Space group F-43m (No. 216)
One atom of each set of equivalent atoms:
Cu (0.0000, 0.0000, 0.0000) x4  4 Pt 2.53
Re (0.0000, 0.0000, 0.5000) x4  4 Pt 2.53
Pt (0.2500, 0.2500, 0.2500) x4  4 Re 2.53, 4 Cu 2.53

Properties
Energy relative to the lowest polymorph listed for this composition: 0.585 eV per atom
VASP energy: -21.2 eV per formula unit
ΔE_f: 0.4782 eV/atom

---

no.,spin magnetization (μB/f.u.)
1,0.000
2,0.000
3,0.000
4,0.000
5,0.002
6,0.000
7,0.000
8,0.000